Run a
Entry from Alexandria: a relaxed structure of ScCr2Re (PBEsol).

V, Å³/cell: 55

Cell: 2.6522 4.9464 4.9464 Å, 115.47 100.25 100.25°
With the nearest neighbours (Å) after each atom.
Fractional positions:
Cr 0.0000 0.5000 0.0000  2 Re 2.59, 2 Sc 2.59, 4 Cr 2.64-2.65
Cr 0.0000 0.0000 0.5000  2 Sc 2.59, 2 Re 2.59, 4 Cr 2.64-2.65
Re 0.5000 0.0000 0.0000  4 Cr 2.59, 2 Sc 2.64, 2 Re 2.65
Sc 0.5000 0.5000 0.5000  4 Cr 2.59, 2 Re 2.64, 2 Sc 2.65

***

Run b
Entry from Alexandria: a relaxed structure of ScCr2Re (PBEsol).

V, Å³/cell: 57

Cell: 2.9938 2.9938 6.3306 Å, 90.00 90.00 90.00°
With the nearest neighbours (Å) after each atom.
Fractional positions:
Cr 0.0000 0.0000 0.7784  4 Re 2.54, 4 Sc 2.75, 1 Cr 2.81
Cr 0.0000 0.0000 0.2216  4 Re 2.54, 4 Sc 2.75, 1 Cr 2.81
Re 0.5000 0.5000 0.0000  8 Cr 2.54
Sc 0.5000 0.5000 0.5000  8 Cr 2.75, 4 Sc 2.99

***

The structure with the greatest stability is run b.

***

Run a
Entry from Alexandria: a relaxed structure of CrReSe2 (PBEsol).

V, Å³/cell: 66

Cell: 2.9170 2.9170 7.7137 Å, 90.00 90.00 90.00°
With the nearest neighbours (Å) after each atom.
Fractional positions:
Cr 0.0000 0.0000 0.5033  4 Se 2.45, 4 Re 2.73
Re 0.5000 0.5000 0.7361  4 Se 2.55, 4 Cr 2.73
Se 0.0000 0.0000 0.9295  4 Re 2.55
Se 0.5000 0.5000 0.3310  4 Cr 2.45

***

Run b
Entry from Alexandria: a relaxed structure of CrReSe2 (PBEsol).

V, Å³/cell: 67

Cell: 3.3827 4.0227 4.9100 Å, 90.00 87.34 90.00°
With the nearest neighbours (Å) after each atom.
Fractional positions:
Cr 0.5000 0.5000 0.5000  4 Se 2.58
Re 0.0000 0.5000 0.0000  4 Se 2.48
Se 0.1879 0.0000 0.2598  2 Re 2.48, 2 Cr 2.58, 1 Se 2.63
Se 0.8121 0.0000 0.7402  2 Re 2.48, 2 Cr 2.58, 1 Se 2.63

***

The structure with the greatest stability is run a.

***

Run a
Entry from Alexandria: a relaxed structure of TaCr2Re (PBEsol).

V, Å³/cell: 55

Cell: 4.2644 4.2644 4.2644 Å, 60.00 60.00 60.00°
With the nearest neighbours (Å) after each atom.
Fractional positions:
Cr 0.0000 0.0000 0.0000  4 Cr 2.61, 4 Ta 2.61
Cr 0.7500 0.7500 0.7500  4 Cr 2.61, 4 Re 2.61
Re 0.5000 0.5000 0.5000  4 Cr 2.61, 4 Ta 2.61
Ta 0.2500 0.2500 0.2500  4 Cr 2.61, 4 Re 2.61

***

Run b
Entry from Alexandria: a relaxed structure of TaCr2Re (PBEsol).

V, Å³/cell: 55

Cell: 2.6582 2.6582 8.3294 Å, 90.00 90.00 110.55°
With the nearest neighbours (Å) after each atom.
Fractional positions:
Cr 0.0000 0.0000 0.2584  2 Re 2.52, 2 Ta 2.63, 4 Cr 2.66
Cr 0.0000 0.0000 0.7416  2 Re 2.52, 2 Ta 2.63, 4 Cr 2.66
Re 0.5000 0.5000 0.5000  4 Cr 2.52, 4 Re 2.66
Ta 0.5000 0.5000 0.0000  4 Cr 2.63, 4 Ta 2.66

***

The structure with the greatest stability is run a.

***

Run a
Entry from Alexandria: a relaxed structure of CrRe2Tc (PBEsol).

V, Å³/cell: 55

Cell: 4.2674 4.2674 4.2674 Å, 60.00 60.00 60.00°
With the nearest neighbours (Å) after each atom.
Fractional positions:
Cr 0.0000 0.0000 0.0000  8 Re 2.61
Re 0.2500 0.2500 0.2500  4 Cr 2.61, 4 Tc 2.61
Re 0.7500 0.7500 0.7500  4 Cr 2.61, 4 Tc 2.61
Tc 0.5000 0.5000 0.5000  8 Re 2.61

***

Run b
Entry from Alexandria: a relaxed structure of CrRe2Tc (PBEsol).

V, Å³/cell: 55

Cell: 2.9743 4.3058 5.0119 Å, 115.44 107.26 90.00°
With the nearest neighbours (Å) after each atom.
Fractional positions:
Cr 0.2534 0.7534 0.5068  6 Re 2.45-2.62, 2 Tc 2.50
Re 0.9816 0.9816 0.9631  2 Cr 2.45, 4 Tc 2.63, 2 Re 2.72
Re 0.7474 0.2474 0.4948  4 Cr 2.62, 2 Re 2.72, 4 Tc 2.75-2.91
Tc 0.5177 0.5177 0.0354  2 Cr 2.50, 6 Re 2.63-2.75

***

The structure with the greatest stability is run b.

***

Run a
Entry from Alexandria: a relaxed structure of CrReW (PBEsol).

V, Å³/cell: 42

Cell: 2.6601 4.2689 4.2689 Å, 120.00 90.00 90.00°
With the nearest neighbours (Å) after each atom.
Fractional positions:
Re 0.6697 0.3333 0.6667  3 Cr 2.62, 3 W 2.63, 2 Re 2.66
W 0.3242 0.6667 0.3333  3 Cr 2.61, 3 Re 2.63, 2 W 2.66
Cr 0.0060 0.0000 0.0000  3 W 2.61, 3 Re 2.62, 2 Cr 2.66

***

Run b
Entry from Alexandria: a relaxed structure of CrReW (PBEsol).

V, Å³/cell: 42

Cell: 3.0314 3.0314 5.0196 Å, 107.58 107.58 90.00°
With the nearest neighbours (Å) after each atom.
Fractional positions:
Re 0.6635 0.6635 0.3269  4 Cr 2.62, 4 W 2.67
W 0.3389 0.3389 0.6777  4 Cr 2.58, 4 Re 2.67
Cr 0.9977 0.9977 0.9954  4 W 2.58, 4 Re 2.62

***

The structure with the greatest stability is run b.

***

Run a
Entry from Alexandria: a relaxed structure of Zr2CrRe (PBEsol).

V, Å³/cell: 66

Cell: 2.8685 4.3645 5.3517 Å, 90.00 98.15 90.00°
With the nearest neighbours (Å) after each atom.
Fractional positions:
Cr 0.5000 0.5000 0.0000  4 Zr 2.70, 2 Re 2.85, 2 Cr 2.87
Re 0.0000 0.5000 0.5000  4 Zr 2.72, 2 Cr 2.85, 2 Re 2.87
Zr 0.7453 0.0000 0.7529  2 Cr 2.70, 2 Re 2.72, 4 Zr 2.83-2.87
Zr 0.2547 0.0000 0.2471  2 Cr 2.70, 2 Re 2.72, 4 Zr 2.83-2.87

***

Run b
Entry from Alexandria: a relaxed structure of Zr2CrRe (PBEsol).

V, Å³/cell: 65

Cell: 4.5209 4.5209 4.5209 Å, 60.00 60.00 60.00°
With the nearest neighbours (Å) after each atom.
Fractional positions:
Cr 0.5000 0.5000 0.5000  4 Zr 2.77, 4 Re 2.77
Re 0.7500 0.7500 0.7500  4 Zr 2.77, 4 Cr 2.77
Zr 0.0000 0.0000 0.0000  4 Re 2.77, 4 Zr 2.77
Zr 0.2500 0.2500 0.2500  4 Cr 2.77, 4 Zr 2.77

***

The structure with the greatest stability is run b.

***

Run a
Entry from Alexandria: a relaxed structure of Cr3Rh4 (PBEsol).

V, Å³/cell: 88

Cell: 2.6256 2.6256 12.8926 Å, 95.84 95.84 90.00°
With the nearest neighbours (Å) after each atom.
Fractional positions:
Cr 0.0000 0.0000 0.0000  8 Rh 2.53, 4 Cr 2.63
Cr 0.2852 0.2852 0.5705  4 Rh 2.52, 8 Cr 2.58-2.63
Cr 0.7148 0.7148 0.4295  4 Rh 2.52, 8 Cr 2.58-2.63
Rh 0.1478 0.1478 0.2956  4 Cr 2.52, 8 Rh 2.63-2.76
Rh 0.4324 0.4324 0.8649  4 Cr 2.53, 8 Rh 2.63-2.76
Rh 0.5676 0.5676 0.1351  4 Cr 2.53, 8 Rh 2.63-2.76
Rh 0.8522 0.8522 0.7044  4 Cr 2.52, 8 Rh 2.63-2.76

***

Run b
Entry from Alexandria: a relaxed structure of Cr3Rh4 (PBEsol).

V, Å³/cell: 88

Cell: 4.5934 4.5934 4.8193 Å, 90.00 90.00 120.00°
With the nearest neighbours (Å) after each atom.
Fractional positions:
Cr 0.0000 0.5000 0.0000  4 Cr 2.30
Cr 0.5000 0.0000 0.0000  4 Cr 2.30
Cr 0.5000 0.5000 0.0000  4 Cr 2.30
Rh 0.0000 0.0000 0.7463  2 Rh 2.37-2.45, 6 Cr 2.60
Rh 0.0000 0.0000 0.2537  2 Rh 2.37-2.45, 6 Cr 2.60
Rh 0.3333 0.6667 0.5000  9 Rh 2.65-2.91, 6 Cr 2.75
Rh 0.6667 0.3333 0.5000  9 Rh 2.65-2.91, 6 Cr 2.75

***

The structure with the greatest stability is run a.

***

Run a
Entry from Alexandria: a relaxed structure of CrRuRh (PBEsol).

V, Å³/cell: 47

Cell: 4.0604 4.0604 4.0604 Å, 60.00 60.00 60.00°
With the nearest neighbours (Å) after each atom.
Fractional positions:
Cr 0.5000 0.5000 0.5000  4 Rh 2.49
Rh 0.2500 0.2500 0.2500  4 Cr 2.49, 4 Ru 2.49
Ru 0.0000 0.0000 0.0000  4 Rh 2.49

***

Run b
Entry from Alexandria: a relaxed structure of CrRuRh (PBEsol).

V, Å³/cell: 38

Cell: 2.6369 2.6369 6.3620 Å, 90.00 90.00 120.00°
With the nearest neighbours (Å) after each atom.
Fractional positions:
Ru 0.3333 0.6667 0.3164  3 Cr 2.51, 6 Ru 2.64, 3 Rh 2.77
Rh 0.6667 0.3333 0.6806  3 Cr 2.55, 6 Rh 2.64, 3 Ru 2.77
Cr 0.0000 0.0000 0.0030  3 Ru 2.51, 3 Rh 2.55, 6 Cr 2.64

***

The structure with the greatest stability is run b.